Entry from the Alexandria database: a relaxed CrCu2O crystal (PBE with a Hubbard U).

Properties
Density of states at the Fermi level = 0.289 states/eV per atom
Total energy = -5.28 eV/atom

Cell: 7.173 7.173 5.461 Å, 48.95 48.95 90.00°
Site moments in Bohr magnetons follow the coordinates.
Fractional coordinates of all 8 atoms:
Cr 0.000 0.000 0.000  3.67
Cr 0.750 0.250 0.500  3.67
O 0.500 0.500 0.000  -0.03
O 0.250 0.750 0.500  -0.03
Cu 0.536 0.125 0.250  0.01
Cu 0.214 0.625 0.250  0.01
Cu 0.375 0.464 0.750  0.01
Cu 0.875 0.786 0.750  0.01